[1]
Compound: VFe2Cu
Source: Alexandria
Functional: PBE
Structure: relaxed

Properties
ΔH_f (0 K)	0.0362	eV/atom
total magnetic moment	2.43	μB/f.u.

Cell: 2.9888 2.9888 5.3248 Å, 90.00 90.00 90.00°
With the nearest neighbours (Å) after each atom.
Fractional positions:
V (0.0000, 0.0000, 0.0000)  8 Fe 2.49, 2 Cu 2.66
Fe (0.5000, 0.5000, 0.2466)  4 V 2.49, 4 Cu 2.51, 2 Fe 2.63-2.70
Fe (0.5000, 0.5000, 0.7534)  4 V 2.49, 4 Cu 2.51, 2 Fe 2.63-2.70
Cu (0.0000, 0.0000, 0.5000)  8 Fe 2.51, 2 V 2.66

***

[2]
Compound: V2FeCu
Source: Alexandria
Functional: PBE
Structure: relaxed

Properties
ΔH_f (0 K)	0.1308	eV/atom
total magnetic moment	0.52	μB/f.u.

Cell: 4.1327 4.1327 4.1327 Å, 60.00 60.00 60.00°
With the nearest neighbours (Å) after each atom.
Fractional positions:
V (0.2500, 0.2500, 0.2500)  4 Fe 2.53, 4 Cu 2.53
V (0.7500, 0.7500, 0.7500)  4 Cu 2.53, 4 Fe 2.53
Fe (0.0000, 0.0000, 0.0000)  8 V 2.53
Cu (0.5000, 0.5000, 0.5000)  8 V 2.53

***

[3]
Compound: VFe2Cu2
Source: Alexandria
Functional: PBE
Structure: relaxed

Properties
ΔH_f (0 K)	0.3094	eV/atom
relative energy among the computed polymorphs	0	meV/atom
total magnetic moment	4.03	μB/f.u.

Cell: 7.0149 7.0149 2.5475 Å, 90.00 90.00 90.00°
With the nearest neighbours (Å) after each atom.
Fractional positions:
V (0.0000, 0.0000, 0.0000)  2 V 2.55, 4 Fe 2.80
V (0.5000, 0.5000, 0.0000)  2 V 2.55, 4 Fe 2.80
Fe (0.1196, 0.3804, 0.0000)  3 Fe 2.37-2.55, 6 Cu 2.39-2.47
Fe (0.3804, 0.8804, 0.0000)  3 Fe 2.37-2.55, 6 Cu 2.39-2.47
Fe (0.6196, 0.1196, 0.0000)  3 Fe 2.37-2.55, 6 Cu 2.39-2.47
Fe (0.8804, 0.6196, 0.0000)  3 Fe 2.37-2.55, 6 Cu 2.39-2.47
Cu (0.1768, 0.6768, 0.5000)  6 Fe 2.39-2.47, 2 Cu 2.55
Cu (0.3232, 0.1768, 0.5000)  6 Fe 2.39-2.47, 2 Cu 2.55
Cu (0.6768, 0.8232, 0.5000)  6 Fe 2.39-2.47, 2 Cu 2.55
Cu (0.8232, 0.3232, 0.5000)  6 Fe 2.39-2.47, 2 Cu 2.55